## ScMo2Cl (PBE)

Data for a relaxed structure of ScMo2Cl.

Cell lengths 4.350, 4.350, 7.249 Å; angles 90.00, 90.00, 90.00 degrees
Space group I-4m2 (No. 119)
Symmetry-distinct sites (fractional):
Sc 0.000 0.000 0.000 (multiplicity 2)
Mo 0.000 0.000 0.500 (multiplicity 2)
Mo 0.000 0.500 0.250 (multiplicity 2)
Cl 0.000 0.500 0.750 (multiplicity 2)

Computed properties:
For the energy above the most stable polymorph in this dataset, the calculation gives 749.6 meV/atom. The calculation puts the raw formation energy at 0.521 eV/atom. The value obtained for the density of states at the Fermi level is 7.8 states/eV/cell.